[1]
A plane-wave DFT calculation with PBE was carried out for a geometry-optimized Be2NbCo structure. Values from VASP.

Computed properties:
total energy: -5.7554 eV per atom
spin magnetization: 0.000 μB per formula unit
density: 5.593 g cm⁻³
energy of formation: 0.40 eV per atom

```
&SYSTEM
  ibrav = 0, nat = 16, ntyp = 3
/
ATOMIC_SPECIES
Be 9.01 Be.upf
Nb 92.91 Nb.upf
Co 58.93 Co.upf
ATOMIC_POSITIONS angstrom
Be 0.6757 0.8687 2.0884
Be 0.8687 2.4131 6.2652
Be 0.8687 2.7991 14.6189
Be 1.0617 0.8687 10.4421
Be 2.4131 2.6061 10.4421
Be 2.6061 0.6757 14.6189
Be 2.6061 1.0617 6.2652
Be 2.7991 2.6061 2.0884
Nb 0.0000 0.0000 8.3536
Nb 0.0000 1.7374 12.5305
Nb 1.7374 0.0000 4.1768
Nb 1.7374 1.7374 0.0000
Co 0.0000 0.0000 0.0000
Co 0.0000 1.7374 4.1768
Co 1.7374 0.0000 12.5305
Co 1.7374 1.7374 8.3536
CELL_PARAMETERS angstrom
3.4748 0.0000 0.0000
0.0000 3.4748 0.0000
0.0000 0.0000 16.7073
```

=====

[2]
A plane-wave DFT calculation with PBE was carried out for a geometry-optimized BeNb2Co3 structure. Values from VASP.

Computed properties:
total energy: -7.7788 eV per atom
spin magnetization: 0.000 μB per formula unit
density: 8.329 g cm⁻³
energy of formation: -0.25 eV per atom

```
&SYSTEM
  ibrav = 0, nat = 12, ntyp = 3
/
ATOMIC_SPECIES
Be 9.01 Be.upf
Nb 92.91 Nb.upf
Co 58.93 Co.upf
ATOMIC_POSITIONS angstrom
Be 0.0000 0.0000 0.0000
Be 0.0000 0.0000 3.6732
Nb 0.0000 2.7863 0.4182
Nb 0.0000 2.7863 3.2549
Nb 2.4130 1.3931 4.0914
Nb 2.4130 1.3931 6.9281
Co 0.0000 1.3820 5.5097
Co -1.2161 3.4884 5.5097
Co 1.1968 0.6910 1.8366
Co 1.2161 3.4884 5.5097
Co 3.6291 0.6910 1.8366
Co 2.4130 2.7974 1.8366
CELL_PARAMETERS angstrom
4.8260 0.0000 0.0000
-2.4130 4.1794 0.0000
0.0000 0.0000 7.3463
```

=====

[3]
A plane-wave DFT calculation with PBE was carried out for a geometry-optimized Be2NbCo structure. Values from VASP.

Computed properties:
total energy: -6.3450 eV per atom
spin magnetization: 0.000 μB per formula unit
density: 6.376 g cm⁻³
energy of formation: -0.19 eV per atom

```
&SYSTEM
  ibrav = 0, nat = 4, ntyp = 3
/
ATOMIC_SPECIES
Be 9.01 Be.upf
Nb 92.91 Nb.upf
Co 58.93 Co.upf
ATOMIC_POSITIONS angstrom
Be 0.0000 0.0000 1.1259
Be 0.0000 0.0000 4.8106
Nb 1.3649 1.3649 2.9683
Co 1.3649 1.3649 0.0000
CELL_PARAMETERS angstrom
2.7298 0.0000 0.0000
0.0000 2.7298 0.0000
0.0000 0.0000 5.9365
```